No. 1
# La2Nd2Se3N4

La2Nd2Se3N4 after structural relaxation (PBE-GGA, the Open Quantum Materials Database).

Unit cell a=8.1495 b=7.1990 c=7.1990 alpha=33.36 beta=90.00 gamma=90.00
Fractional positions:
1 La 0.0000 0.0000 0.0000
2 La 0.5000 0.0108 0.0108
3 Nd 0.2582 0.3299 0.3299
4 Nd 0.7418 0.3299 0.3299
5 Se 0.1730 0.6560 0.6560
6 Se 0.5000 0.6935 0.6935
7 Se 0.8270 0.6560 0.6560
8 N 0.0000 0.4061 0.4061
9 N 0.2551 0.9167 0.9167
10 N 0.5000 0.4245 0.4245
11 N 0.7449 0.9167 0.9167

Results
SG = Amm2, No. 38
E_tot = -6.715 eV/atom

---

No. 2
# La2NdTa2N6

La2NdTa2N6 after structural relaxation (PBE-GGA, the Open Quantum Materials Database).

Unit cell a=10.3638 b=10.3638 c=10.3638 alpha=157.41 beta=157.41 gamma=32.17
Fractional positions:
1 La 0.1802 0.1802 0.0000
2 La 0.8198 0.8198 0.0000
3 Nd 0.0000 0.0000 0.0000
4 Ta 0.4011 0.4011 0.0000
5 Ta 0.5989 0.5989 0.0000
6 N 0.0832 0.5832 0.5000
7 N 0.3026 0.3026 0.0000
8 N 0.4168 0.9168 0.5000
9 N 0.5832 0.0832 0.5000
10 N 0.6974 0.6974 0.0000
11 N 0.9168 0.4168 0.5000

Results
SG = I4/mmm, No. 139
E_tot = -9.428 eV/atom